Compound: Ti6NiIr2
Source: Alexandria
Functional: GGA-PBE
Structure: optimized geometry

Its energy of formation is -0.280 eV/atom. Its total magnetization is 0.00 μB/cell. The density of states at the Fermi level comes out at 22.692 states/eV/cell. For the energy, the calculation gives -8.16 eV per atom.

The structure belongs to space group C2/m (No. 12); the cell edges are 13.392, 6.002 and 4.241 Å and the angles 90.00°, 108.32° and 90.00°. The asymmetric unit holds Ti at (0.000, 0.245, 0.000), Ti at (0.165, 0.248, 0.665), Ni at (0.000, 0.000, 0.500) and Ir at (0.166, 0.500, 0.166).


Compound: Ti6Ni8Ir
Source: Alexandria
Functional: GGA-PBE
Structure: optimized geometry

Its energy of formation is -0.238 eV/atom. Its total magnetization is 0.00 μB/cell. The density of states at the Fermi level comes out at 38.010 states/eV/cell. For the energy, the calculation gives -7.07 eV per atom.

The structure belongs to space group R-3 (No. 148, hexagonal axes); the cell edges are 6.8411, 6.8411 and 15.3670 Å and the angles 90.00°, 90.00° and 120.00°. The asymmetric unit holds Ti at (0.0034, 0.2697, 0.3887), Ni at (0.0000, 0.0000, 0.2590), Ni at (0.0065, 0.2790, 0.8794) and Ir at (0.0000, 0.0000, 0.0000).


Compound: TiNiIr3
Source: Alexandria
Functional: GGA-PBE
Structure: optimized geometry

Its energy of formation is 1.398 eV/atom. Its total magnetization is 2.01 μB/cell. As for the energy above the most stable polymorph in this dataset: 349 meV/atom. The density of states at the Fermi level comes out at 10.121 states/eV/cell. For the energy, the calculation gives -6.65 eV per atom.

The structure belongs to space group Pm-3m (No. 221); the cell edges are 4.541, 4.541 and 4.541 Å and the angles 90.00°, 90.00° and 90.00°. The asymmetric unit holds Ti at (0.000, 0.000, 0.000), Ni at (0.500, 0.500, 0.500) and Ir at (0.000, 0.000, 0.500).


Compound: Ti7Ni2Ir2
Source: Alexandria
Functional: GGA-PBE
Structure: optimized geometry

Its energy of formation is -0.140 eV/atom. Its total magnetization is 0.03 μB/cell. The density of states at the Fermi level comes out at 34.092 states/eV/cell. For the energy, the calculation gives -7.83 eV per atom.

The structure belongs to space group Cmmm (No. 65); the cell edges are 6.760, 8.993 and 6.156 Å and the angles 90.00°, 90.00° and 90.00°. The asymmetric unit holds Ti at (0.000, 0.000, 0.000), Ti at (0.000, 0.500, 0.259), Ti at (0.250, 0.250, 0.271), Ni at (0.000, 0.289, 0.000) and Ir at (0.191, 0.000, 0.500).


Compound: Ti6NiIr
Source: Alexandria
Functional: GGA-PBE
Structure: optimized geometry

Its energy of formation is 0.014 eV/atom. Its total magnetization is 0.00 μB/cell. As for the energy above the most stable polymorph in this dataset: 317 meV/atom. The density of states at the Fermi level comes out at 21.310 states/eV/cell. For the energy, the calculation gives -7.74 eV per atom.

The structure belongs to space group C2/m (No. 12); the cell edges are 5.583, 10.013 and 5.488 Å and the angles 90.00°, 119.41° and 90.00°. The asymmetric unit holds Ti at (0.013, 0.214, 0.249), Ti at (0.022, 0.500, 0.763), Ni at (0.000, 0.000, 0.000) and Ir at (0.000, 0.000, 0.500).


Compound: TiNi2Ir2
Source: Alexandria
Functional: GGA-PBE
Structure: optimized geometry

Its energy of formation is -0.119 eV/atom. Its total magnetization is 0.00 μB/cell. As for the energy above the most stable polymorph in this dataset: 64 meV/atom. The density of states at the Fermi level comes out at 16.037 states/eV/cell. For the energy, the calculation gives -7.55 eV per atom.

The structure belongs to space group P4/mbm (No. 127); the cell edges are 7.049, 7.049 and 2.799 Å and the angles 90.00°, 90.00° and 90.00°. The asymmetric unit holds Ti at (0.000, 0.000, 0.000), Ni at (0.166, 0.334, 0.500) and Ir at (0.133, 0.633, 0.000).


Compound: Ti4Ni3Ir2
Source: Alexandria
Functional: GGA-PBE
Structure: optimized geometry

Its energy of formation is -0.570 eV/atom. Its total magnetization is 0.01 μB/cell. The density of states at the Fermi level comes out at 18.682 states/eV/cell. For the energy, the calculation gives -7.97 eV per atom.

The structure belongs to space group C2/m (No. 12); the cell edges are 8.039, 3.953 and 8.102 Å and the angles 90.00°, 102.16° and 90.00°. The asymmetric unit holds Ti at (0.031, 0.000, 0.341), Ti at (0.159, 0.500, 0.885), Ni at (0.000, 0.000, 0.000), Ni at (0.159, 0.500, 0.551) and Ir at (0.184, 0.500, 0.220).


Compound: Ti4NiIr3
Source: Alexandria
Functional: GGA-PBE
Structure: optimized geometry

Its energy of formation is -0.732 eV/atom. Its total magnetization is 0.00 μB/cell. The density of states at the Fermi level comes out at 18.688 states/eV/cell. For the energy, the calculation gives -8.72 eV per atom.

The structure belongs to space group I4/mmm (No. 139); the cell edges are 4.179, 4.179 and 13.552 Å and the angles 90.00°, 90.00° and 90.00°. The asymmetric unit holds Ti at (0.000, 0.500, 0.123), Ni at (0.000, 0.000, 0.000), Ir at (0.000, 0.000, 0.248) and Ir at (0.000, 0.000, 0.500).


Compound: Ti2Ni8Ir
Source: Alexandria
Functional: GGA-PBE
Structure: optimized geometry

Its energy of formation is -0.244 eV/atom. Its total magnetization is 0.00 μB/cell. The density of states at the Fermi level comes out at 21.834 states/eV/cell. For the energy, the calculation gives -6.69 eV per atom.

The structure belongs to space group C2/m (No. 12); the cell edges are 13.038, 3.639 and 5.835 Å and the angles 90.00°, 107.20° and 90.00°. The asymmetric unit holds Ti at (0.220, 0.000, 0.160), Ni at (0.042, 0.000, 0.227), Ni at (0.092, 0.500, 0.946), Ni at (0.141, 0.000, 0.691), Ni at (0.177, 0.500, 0.402) and Ir at (0.000, 0.500, 0.500).


Compound: Ti2NiIr9
Source: Alexandria
Functional: GGA-PBE
Structure: optimized geometry

Its energy of formation is -0.445 eV/atom. Its total magnetization is 0.00 μB/cell. The density of states at the Fermi level comes out at 13.267 states/eV/cell. For the energy, the calculation gives -8.89 eV per atom.

The structure belongs to space group P4/mmm (No. 123); the cell edges are 3.854, 3.854 and 11.592 Å and the angles 90.00°, 90.00° and 90.00°. The asymmetric unit holds Ti at (0.000, 0.000, 0.169), Ni at (0.000, 0.000, 0.500), Ir at (0.000, 0.500, 0.000), Ir at (0.000, 0.500, 0.336), Ir at (0.500, 0.500, 0.167) and Ir at (0.500, 0.500, 0.500).


Compound: Ti8Ni5Ir
Source: Alexandria
Functional: GGA-PBE
Structure: optimized geometry

Its energy of formation is -0.235 eV/atom. Its total magnetization is 0.00 μB/cell. The density of states at the Fermi level comes out at 36.655 states/eV/cell. For the energy, the calculation gives -7.44 eV per atom.

The structure belongs to space group I-4 (No. 82); the cell edges are 7.944, 7.944 and 6.684 Å and the angles 90.00°, 90.00° and 90.00°. The asymmetric unit holds Ti at (0.002, 0.180, 0.201), Ti at (0.125, 0.644, 0.608), Ni at (0.000, 0.000, 0.500), Ni at (0.164, 0.310, 0.533) and Ir at (0.000, 0.500, 0.250).


Compound: Ti5Ni4Ir
Source: Alexandria
Functional: GGA-PBE
Structure: optimized geometry

Its energy of formation is -0.454 eV/atom. Its total magnetization is 0.00 μB/cell. The density of states at the Fermi level comes out at 12.091 states/eV/cell. For the energy, the calculation gives -7.60 eV per atom.

The structure belongs to space group P4/mmm (No. 123); the cell edges are 3.012, 3.012 and 15.341 Å and the angles 90.00°, 90.00° and 90.00°. The asymmetric unit holds Ti at (0.000, 0.000, 0.000), Ti at (0.000, 0.000, 0.196), Ti at (0.000, 0.000, 0.391), Ni at (0.500, 0.500, 0.097), Ni at (0.500, 0.500, 0.294) and Ir at (0.500, 0.500, 0.500).